PmSc2WO8, relaxed, DFT PBE+U; DOS at the Fermi energy = 3.4 states/eV/f.u.; spin magnetization = 0.65 μB/cell; raw total energy = -97.76 eV for the cell shown; density = 5.71 Mg/m³
1.0
3.428 -3.441 0.000
3.428 3.441 0.000
0.000 0.000 6.742
Pm Sc W O
1 2 1 8
Direct
0.000 0.000 0.000 Pm
0.500 0.500 0.260 Sc
0.500 0.500 0.740 Sc
0.000 0.000 0.500 W
0.194 0.806 0.290 O
0.194 0.806 0.710 O
0.288 0.288 0.500 O
0.329 0.329 0.000 O
0.671 0.671 0.000 O
0.712 0.712 0.500 O
0.806 0.194 0.290 O
0.806 0.194 0.710 O


PmScWO6, relaxed, DFT PBE+U; DOS at the Fermi energy = 0.0 states/eV/f.u.; spin magnetization = 0.00 μB/cell; raw total energy = -148.37 eV for the cell shown; density = 6.28 Mg/m³
1.0
5.354 0.000 0.000
-2.677 4.637 0.000
0.000 0.000 10.003
Pm Sc W O
2 2 2 12
Direct
0.000 0.000 0.000 Pm
0.000 0.000 0.500 Pm
0.333 0.667 0.250 Sc
0.667 0.333 0.750 Sc
0.333 0.667 0.750 W
0.667 0.333 0.250 W
0.022 0.372 0.641 O
0.022 0.651 0.859 O
0.349 0.372 0.859 O
0.349 0.978 0.641 O
0.372 0.022 0.141 O
0.372 0.349 0.359 O
0.628 0.651 0.641 O
0.628 0.978 0.859 O
0.651 0.022 0.359 O
0.651 0.628 0.141 O
0.978 0.349 0.141 O
0.978 0.628 0.359 O


> Look up the density of the first one.

5.71 Mg/m³


What did the first record say?
PmSc2WO8, relaxed, DFT PBE+U; DOS at the Fermi energy = 3.4 states/eV/f.u.; spin magnetization = 0.65 μB/cell; raw total energy = -97.76 eV for the cell shown; density = 5.71 Mg/m³
1.0
3.428 -3.441 0.000
3.428 3.441 0.000
0.000 0.000 6.742
Pm Sc W O
1 2 1 8
Direct
0.000 0.000 0.000 Pm
0.500 0.500 0.260 Sc
0.500 0.500 0.740 Sc
0.000 0.000 0.500 W
0.194 0.806 0.290 O
0.194 0.806 0.710 O
0.288 0.288 0.500 O
0.329 0.329 0.000 O
0.671 0.671 0.000 O
0.712 0.712 0.500 O
0.806 0.194 0.290 O
0.806 0.194 0.710 O


> Which formula does entry 2 have?

PmScWO6


> Which value of density does entry 2 give?

6.28 Mg/m³